(1)
! NaSb2S2 PBE-GGA optimized geometry; values from VASP
&SYSTEM
  ibrav = 0, nat = 5, ntyp = 3
/
ATOMIC_SPECIES
Sb 121.76 Sb.upf
S 32.06 S.upf
Na 22.99 Na.upf
ATOMIC_POSITIONS angstrom
Sb -5.820 0.515 1.358
Sb -4.397 1.114 3.924
S -2.656 -0.632 1.620
S -7.561 2.262 3.663
Na 0.000 0.000 0.000
CELL_PARAMETERS angstrom
-3.514 -2.115 -1.053
-0.670 -0.917 4.079
-6.033 4.662 2.256
! Calculated total energy (eV/atom): -3.661
! Energy above the lowest structure with this stoichiometry (meV per atom): 66
! Size of the total moment (μB per formula unit): 0.0

---

(2)
! Na5SbS5 PBE-GGA optimized geometry; values from VASP
&SYSTEM
  ibrav = 0, nat = 11, ntyp = 3
/
ATOMIC_SPECIES
Na 22.99 Na.upf
Sb 121.76 Sb.upf
S 32.06 S.upf
ATOMIC_POSITIONS angstrom
Na 2.750 1.624 2.313
Na 2.750 0.226 6.434
Na 0.000 -1.218 3.731
Na 0.000 3.845 1.030
Na 0.000 2.447 5.151
Sb 0.000 0.000 0.000
S 2.750 4.325 1.228
S 2.750 2.853 5.210
S 2.750 0.000 0.000
S 0.000 1.218 2.254
S 0.000 -0.254 6.236
CELL_PARAMETERS angstrom
5.499 0.000 0.000
-2.750 6.508 0.002
0.000 -2.436 7.462
! Calculated total energy (eV/atom): -3.625
! Size of the total moment (μB per formula unit): 0.0

---

(3)
! Na3SbS PBE-GGA optimized geometry; values from VASP
&SYSTEM
  ibrav = 0, nat = 5, ntyp = 3
/
ATOMIC_SPECIES
Sb 121.76 Sb.upf
S 32.06 S.upf
Na 22.99 Na.upf
ATOMIC_POSITIONS angstrom
Sb 0.000 0.000 0.000
S -0.775 1.846 4.616
Na -1.486 -1.331 2.111
Na 2.084 0.690 1.902
Na -1.373 2.488 0.602
CELL_PARAMETERS angstrom
-2.746 4.976 1.205
-2.973 -2.663 4.222
4.169 1.380 3.805
! Calculated total energy (eV/atom): -2.361
! Energy above the lowest structure with this stoichiometry (meV per atom): 509
! Size of the total moment (μB per formula unit): 2.0

---

(4)
! Na2Sb2S3 PBE-GGA optimized geometry; values from VASP
&SYSTEM
  ibrav = 0, nat = 14, ntyp = 3
/
ATOMIC_SPECIES
Na 22.99 Na.upf
Sb 121.76 Sb.upf
S 32.06 S.upf
ATOMIC_POSITIONS angstrom
Na -12.253 -1.482 1.169
Na -9.127 -3.765 -1.071
Na -5.717 2.071 0.921
Na -2.590 -0.212 -1.319
Sb -8.044 -0.579 1.221
Sb -11.269 0.428 -1.644
Sb -3.574 -2.122 1.494
Sb -6.799 -1.115 -1.372
S -5.282 1.095 -1.791
S 0.000 0.000 0.000
S -7.600 -0.064 4.010
S -9.237 1.275 0.197
S -5.606 -2.969 -0.347
S -7.243 -1.630 -4.160
CELL_PARAMETERS angstrom
-7.219 4.032 2.673
-3.346 -1.842 -6.256
-4.279 -3.885 3.432
! Calculated total energy (eV/atom): -3.773
! Size of the total moment (μB per formula unit): 0.0

---

(5)
! NaSb3S PBE-GGA optimized geometry; values from VASP
&SYSTEM
  ibrav = 0, nat = 5, ntyp = 3
/
ATOMIC_SPECIES
Sb 121.76 Sb.upf
S 32.06 S.upf
Na 22.99 Na.upf
ATOMIC_POSITIONS angstrom
Sb 0.000 2.660 0.000
Sb 0.000 0.000 2.660
Sb 2.660 0.000 0.000
S 0.000 0.000 0.000
Na 2.660 2.660 2.660
CELL_PARAMETERS angstrom
5.319 0.000 0.000
0.000 5.319 0.000
0.000 0.000 5.319
! Calculated total energy (eV/atom): -3.296
! Energy above the lowest structure with this stoichiometry (meV per atom): 0
! Size of the total moment (μB per formula unit): 0.0

---

(6)
! NaSb2S3 PBE-GGA optimized geometry; values from VASP
&SYSTEM
  ibrav = 0, nat = 12, ntyp = 3
/
ATOMIC_SPECIES
Na 22.99 Na.upf
Sb 121.76 Sb.upf
S 32.06 S.upf
ATOMIC_POSITIONS angstrom
Na 4.331 -10.441 2.679
Na -0.178 -3.816 -0.127
Sb -0.836 -7.825 -0.557
Sb 2.850 -2.694 3.987
Sb 4.920 -6.616 3.065
Sb 1.358 -6.153 3.035
S -0.630 -1.316 1.805
S 4.306 -4.510 4.895
S 2.386 -4.295 1.482
S 4.550 -8.295 5.033
S -0.756 -6.085 1.707
S 2.317 -8.505 1.421
CELL_PARAMETERS angstrom
-1.989 -0.013 3.164
-2.669 -7.084 -1.706
7.945 -4.192 4.976
! Calculated total energy (eV/atom): -4.022
! Size of the total moment (μB per formula unit): 0.0

---

(7)
! NaSb3S6 PBE-GGA optimized geometry; values from VASP
&SYSTEM
  ibrav = 0, nat = 20, ntyp = 3
/
ATOMIC_SPECIES
Na 22.99 Na.upf
Sb 121.76 Sb.upf
S 32.06 S.upf
ATOMIC_POSITIONS angstrom
Na -6.189 2.984 0.335
Na 0.000 0.000 0.000
Sb -9.786 3.389 2.586
Sb -4.707 -1.468 -1.034
Sb -2.592 2.579 -1.916
Sb -3.762 0.320 2.349
Sb -1.482 4.451 1.369
Sb -8.616 5.647 -1.679
S -6.218 7.409 -0.405
S -4.867 4.279 -1.691
S -5.263 0.929 -1.684
S -7.115 5.039 2.354
S -7.511 1.689 2.361
S -6.160 -1.442 1.075
S -3.357 2.713 1.226
S -2.626 -0.736 0.306
S -3.353 6.171 1.496
S -9.025 -0.203 -0.825
S -9.752 6.704 0.364
S -9.021 3.255 -0.556
CELL_PARAMETERS angstrom
-3.401 0.159 -5.620
-6.013 -3.094 3.552
-2.964 8.903 2.738
! Calculated total energy (eV/atom): -4.128
! Size of the total moment (μB per formula unit): 0.0

---

(8)
! Na2Sb2S5 PBE-GGA optimized geometry; values from VASP
&SYSTEM
  ibrav = 0, nat = 9, ntyp = 3
/
ATOMIC_SPECIES
Na 22.99 Na.upf
Sb 121.76 Sb.upf
S 32.06 S.upf
ATOMIC_POSITIONS angstrom
Na 2.392 1.463 -0.122
Na -0.561 4.571 5.039
Sb -1.378 6.160 -0.356
Sb 3.208 -0.126 5.272
S -0.232 3.779 -0.827
S 2.678 0.649 2.630
S -0.848 5.386 2.287
S 2.063 2.255 5.744
S 0.000 0.000 0.000
CELL_PARAMETERS angstrom
3.852 -0.846 -1.341
-1.887 6.782 -2.976
-0.135 0.099 9.234
! Calculated total energy (eV/atom): -4.011
! Energy above the lowest structure with this stoichiometry (meV per atom): 0
! Size of the total moment (μB per formula unit): 0.0

---

(9)
! NaSbS2 PBE-GGA optimized geometry; values from VASP
&SYSTEM
  ibrav = 0, nat = 4, ntyp = 3
/
ATOMIC_SPECIES
Na 22.99 Na.upf
Sb 121.76 Sb.upf
S 32.06 S.upf
ATOMIC_POSITIONS angstrom
Na 3.952 2.282 3.552
Sb 5.928 3.423 6.990
S 1.976 1.141 5.396
S 1.976 1.141 1.577
CELL_PARAMETERS angstrom
3.952 0.000 0.000
1.976 3.423 0.000
1.976 1.141 7.006
! Calculated total energy (eV/atom): -4.041
! Size of the total moment (μB per formula unit): 0.0

---

(10)
! NaSbS2 PBE-GGA optimized geometry; values from VASP
&SYSTEM
  ibrav = 0, nat = 4, ntyp = 3
/
ATOMIC_SPECIES
Sb 121.76 Sb.upf
S 32.06 S.upf
Na 22.99 Na.upf
ATOMIC_POSITIONS angstrom
Sb 0.000 0.000 0.000
S 0.000 0.000 25.275
S 0.000 0.000 2.631
Na 0.000 0.000 13.953
CELL_PARAMETERS angstrom
1.940 0.000 9.302
-0.970 1.680 9.302
-0.970 -1.680 9.302
! Calculated total energy (eV/atom): -3.415
! Size of the total moment (μB per formula unit): 0.0

---

(11)
! NaSbS2 PBE-GGA optimized geometry; values from VASP
&SYSTEM
  ibrav = 0, nat = 8, ntyp = 3
/
ATOMIC_SPECIES
Sb 121.76 Sb.upf
S 32.06 S.upf
Na 22.99 Na.upf
ATOMIC_POSITIONS angstrom
Sb 0.000 0.000 0.000
Sb -0.943 -5.116 5.632
S -1.098 -4.111 3.196
S 2.770 -1.684 3.973
S 0.149 -3.421 7.336
S 1.904 -6.982 9.722
Na 1.481 -3.490 2.224
Na 2.805 -2.983 6.481
CELL_PARAMETERS angstrom
-2.268 -5.623 1.375
5.230 -1.358 3.074
-1.100 -1.119 7.665
! Calculated total energy (eV/atom): -3.896
! Size of the total moment (μB per formula unit): 0.0

---

(12)
! NaSb4S8 PBE-GGA optimized geometry; values from VASP
&SYSTEM
  ibrav = 0, nat = 13, ntyp = 3
/
ATOMIC_SPECIES
Na 22.99 Na.upf
Sb 121.76 Sb.upf
S 32.06 S.upf
ATOMIC_POSITIONS angstrom
Na -13.016 -4.390 4.389
Sb -9.859 -1.043 4.017
Sb -9.988 -3.704 0.973
Sb -8.420 -4.787 4.541
Sb -6.442 -2.173 2.172
S -5.458 0.321 2.497
S -5.580 -2.200 -0.387
S -4.095 -3.225 2.993
S -2.221 -0.749 0.749
S -7.643 -4.575 1.971
S -7.530 -2.246 4.634
S -8.902 -1.299 1.512
S -10.634 -3.586 3.585
CELL_PARAMETERS angstrom
-6.632 2.192 3.580
-6.883 -2.972 -2.326
-3.839 -5.073 4.597
! Calculated total energy (eV/atom): -4.133
! Size of the total moment (μB per formula unit): 0.0

---

In g/cm³, the theoretical density values for the records above are, in order, 4.16 2.47 1.89 3.29 4.64 4.04 3.94 3.30 3.66 3.81 2.77 3.72.